HoAlNO | GGA-PBE | optimized geometry

* excess energy over the best structure of this formula in the dataset: 0 meV per atom

Geometry as CIF:
```
data_HoAlNO
_chemical_formula_sum 'Ho2 Al2 N2 O2'
_symmetry_space_group_name_H-M 'P m c 21'
_symmetry_Int_Tables_number 26
_symmetry_space_group_name_Hall 'P 2c -2'
_cell_length_a 3.3774
_cell_length_b 6.1938
_cell_length_c 5.0941
_cell_angle_alpha 90.00
_cell_angle_beta 90.00
_cell_angle_gamma 90.00
loop_
_atom_site_label
_atom_site_type_symbol
_atom_site_fract_x
_atom_site_fract_y
_atom_site_fract_z
Ho1 Ho 0.0000 0.1700 0.0000
Al1 Al 0.5000 0.3211 0.5171
N1 N 0.0000 0.1883 0.4774
O1 O 0.5000 0.4181 0.8565
```